No. 1
The following is a DFT calculation (GGA-PBE) of an optimized crystal structure of Na3HfAg.

Properties
V   31.76 A^3/atom
Energy relative to the lowest polymorph listed for this composition   0 meV/atom
Space-group type   No. 221
Final energy   -2.38 eV/atom
Energy of formation from the pure elements   4.9 eV/f.u.

Cell lengths 5.4154, 5.4154, 5.4154 Å; angles 90.00, 90.00, 90.00 degrees
Sites, in units of the cell vectors:
Na  0.0000  0.0000  0.5000
Na  0.0000  0.5000  0.0000
Na  0.5000  0.0000  0.0000
Hf  0.5000  0.5000  0.5000
Ag  0.0000  0.0000  0.0000

No. 2
The following is a DFT calculation (GGA-PBE) of an optimized crystal structure of Na2HfAg.

Properties
V   25.30 A^3/atom
Energy relative to the lowest polymorph listed for this composition   0 meV/atom
Space-group type   No. 122
Final energy   -3.07 eV/atom
Energy of formation from the pure elements   3.2 eV/f.u.

Cell lengths 6.6011, 6.6011, 6.6011 Å; angles 100.81, 100.81, 128.67 degrees
Sites, in units of the cell vectors:
Na  0.0840  0.6250  0.9590
Na  0.3750  0.3340  0.4590
Na  0.6660  0.1250  0.0410
Na  0.8750  0.9160  0.5410
Hf  0.2500  0.7500  0.5000
Hf  0.5000  0.5000  0.0000
Ag  0.0000  0.0000  0.0000
Ag  0.7500  0.2500  0.5000

No. 3
The following is a DFT calculation (GGA-PBE) of an optimized crystal structure of Na2HfAg.

Properties
V   22.93 A^3/atom
Energy relative to the lowest polymorph listed for this composition   70 meV/atom
Space-group type   No. 225
Final energy   -3.00 eV/atom
Energy of formation from the pure elements   3.4 eV/f.u.

Cell lengths 5.0621, 5.0621, 5.0621 Å; angles 60.00, 60.00, 60.00 degrees
Sites, in units of the cell vectors:
Na  0.2500  0.2500  0.2500
Na  0.7500  0.7500  0.7500
Hf  0.0000  0.0000  0.0000
Ag  0.5000  0.5000  0.5000